{
  "formula": "CeLuAlPd",
  "functional": "PBE-GGA",
  "state": "relaxed",
  "lattice_angstrom": [[5.061, 0.000, 0.000], [2.531, 4.383, 0.000], [2.531, 1.461, 4.132]],
  "species": ["Al", "Lu", "Ce", "Pd"],
  "frac_coords": [[0.500, 0.500, 0.500], [0.750, 0.750, 0.750], [0.250, 0.250, 0.250], [0.000, 0.000, 0.000]],
  "e_tot_ev_per_atom": -5.3287
}

{
  "formula": "Cs3Na2SmI8",
  "functional": "PBE-GGA",
  "state": "relaxed",
  "lattice_angstrom": [[8.681, 0.000, 0.000], [-4.340, 7.518, 0.000], [0.000, 0.000, 11.515]],
  "species": ["Cs", "Cs", "Cs", "Sm", "I", "I", "I", "I", "I", "I", "I", "I", "Na", "Na"],
  "frac_coords": [[0.667, 0.333, 0.386], [0.333, 0.667, 0.614], [0.000, 0.000, 0.000], [0.000, 0.000, 0.500], [0.836, 0.673, 0.661], [0.327, 0.164, 0.661], [0.164, 0.836, 0.339], [0.667, 0.333, 0.069], [0.333, 0.667, 0.931], [0.836, 0.164, 0.661], [0.164, 0.327, 0.339], [0.673, 0.836, 0.339], [0.333, 0.667, 0.182], [0.667, 0.333, 0.818]],
  "e_tot_ev_per_atom": -2.9688,
  "raw_formation_energy_ev_per_atom": -1.375
}

{
  "formula": "CeHo2ErSe4",
  "functional": "PBE-GGA",
  "state": "relaxed",
  "lattice_angstrom": [[-0.602, -0.397, 3.987], [6.841, -1.623, 0.871], [3.670, 5.984, 1.151]],
  "species": ["Se", "Se", "Se", "Se", "Ce", "Ho", "Ho", "Er"],
  "frac_coords": [[0.000, 0.242, 0.259], [0.500, 0.247, 0.745], [0.500, 0.753, 0.255], [0.000, 0.758, 0.741], [0.500, 0.500, 0.000], [0.500, 0.000, 0.500], [0.000, 0.000, 0.000], [0.000, 0.500, 0.500]],
  "e_tot_ev_per_atom": -5.9408,
  "raw_formation_energy_ev_per_atom": -1.742
}